[1]
Compound: Ce2Th5In4
Source: the Alexandria database
Functional: PBE
Structure: optimized geometry

Volume: 30.0 Å³/atom
Density: 9.56 Mg/m³
Symmetry: P2/m
D(E_F): 18.100 states/eV/cell
Calculated total energy: -60.067 eV per formula unit
Calculated formation energy: -0.0133 eV per atom

a b c (Å): 8.2005 3.4585 11.8528
angles (deg): 90.00 101.09 90.00
With the nearest neighbours (Å) after each atom.
Positions (direct):
1 Ce 0.1008 0.0000 0.4223  1 Ce 2.70
2 Ce 0.8992 0.0000 0.5777  1 Ce 2.70
3 Th 0.2860 0.0000 0.0316  6 In 3.29-3.54, 3 Th 3.46-3.54
4 Th 0.2991 0.0000 0.7350  4 In 3.37-3.39, 2 Ce 3.45-3.75, 4 Th 3.46-3.54
5 Th 0.5000 0.0000 0.5000  2 Ce 3.23, 4 In 3.25, 4 Th 3.46-3.50
6 Th 0.7009 0.0000 0.2650  4 In 3.37-3.39, 2 Ce 3.45-3.75, 4 Th 3.46-3.54
7 Th 0.7140 0.0000 0.9684  6 In 3.29-3.54, 3 Th 3.46-3.54
8 In 0.0076 0.5000 0.8398  1 In 2.96
9 In 0.3476 0.5000 0.2720  1 In 2.96, 4 Th 3.25-3.29
10 In 0.6524 0.5000 0.7280  1 In 2.96, 4 Th 3.25-3.29
11 In 0.9924 0.5000 0.1602  1 In 2.96

---

[2]
Compound: Mn2TcMoN
Source: the Alexandria database
Functional: PBE
Structure: optimized geometry

Volume: 11.7 Å³/atom
Density: 9.05 Mg/m³
Raw formation energy: -0.055 eV/atom
Symmetry: P4/mmm
D(E_F): 3.262 states/eV/cell
Calculated total energy: -48.135 eV per formula unit
Energy above the most stable polymorph in this dataset: 0.11 eV/f.u.

a b c (Å): 3.8147 3.8147 4.0078
angles (deg): 90.00 90.00 90.00
With the nearest neighbours (Å) after each atom.
Positions (direct):
1 Mn 0.0000 0.5000 0.0000  2 N 1.91
2 Mn 0.5000 0.0000 0.0000  2 N 1.91
3 Tc 0.0000 0.0000 0.5000  2 N 2.00
4 Mo 0.5000 0.5000 0.5000  4 Tc 2.70, 8 Mn 2.77
5 N 0.0000 0.0000 0.0000  4 Mn 1.91, 2 Tc 2.00

---

[3]
Compound: Na2InOsN
Source: the Alexandria database
Functional: PBE
Structure: optimized geometry

Volume: 24.8 Å³/atom
Density: 4.90 Mg/m³
Raw formation energy: 0.494 eV/atom
Symmetry: P4/mmm
D(E_F): 5.013 states/eV/cell
Calculated total energy: -22.463 eV per formula unit

a b c (Å): 5.7748 5.7748 3.7126
angles (deg): 90.00 90.00 90.00
With the nearest neighbours (Å) after each atom.
Positions (direct):
1 Na 0.0000 0.5000 0.0000  2 Os 2.89
2 Na 0.5000 0.0000 0.0000  2 Os 2.89
3 In 0.0000 0.0000 0.5000  8 Na 3.43, 2 In 3.71
4 Os 0.5000 0.5000 0.0000  2 N 1.86
5 N 0.5000 0.5000 0.5000  2 Os 1.86